Density functional theory data (GGA-PBE) for a relaxed structure of TiIN2F.

## Properties
V: 73.9 Å³/cell
Energy above the lowest structure with this stoichiometry: 1.939 eV per atom
DOS at the Fermi energy: 4.030 states/eV per cell
Formation energy without anion corrections: 168 kJ per mole of atoms
Final energy: -19.2 eV per cell
Crystal system: tetragonal

```
data_TiIN2F
_cell_length_a 4.175
_cell_length_b 4.175
_cell_length_c 4.239
_cell_angle_alpha 90.00
_cell_angle_beta 90.00
_cell_angle_gamma 90.00
_space_group_name_H-M_alt 'P 4/m m m'
_space_group_IT_number 123
_space_group_name_Hall '-P 4 2'
loop_
_atom_site_label
_atom_site_fract_x
_atom_site_fract_y
_atom_site_fract_z
Ti1 0.000 0.000 0.000
I1 0.500 0.500 0.000
N1 0.000 0.500 0.500
F1 0.500 0.500 0.500
```